Hg3S2I2 after structural relaxation. Source: Alexandria, functional GGA-PBE.

Cell and atoms, written as CIF:
```
data_Hg3S2I2
_space_group_name_H-M_alt 'P 1 21/c 1'
_space_group_IT_number 14
_cell_length_a 7.127
_cell_length_b 7.601
_cell_length_c 11.031
_cell_angle_alpha 90.00
_cell_angle_beta 127.79
_cell_angle_gamma 90.00
loop_
_space_group_symop_operation_xyz
'x,y,z'
'-x,-y,-z'
'-x,y+1/2,-z+1/2'
'x,-y+1/2,z+1/2'
loop_
_atom_site_label
_atom_site_type_symbol
_atom_site_fract_x
_atom_site_fract_y
_atom_site_fract_z
Hg1 Hg 0.000 0.000 0.000
Hg2 Hg 0.360 0.080 0.677
S1 S 0.381 0.114 0.094
I1 I 0.121 0.610 0.881
```

Output
The calculation puts the volume at 236.1 Å³/f.u. As for the total energy: -1.95 eV/atom. The magnetization comes out at 0.00 μB per cell.